1.
Computed, not measured: a relaxed structure of Zr2Pd5Rh at the PBE level of DFT.

Cell: 5.7015 11.3983 4.0035 Å, 90.00 90.00 90.00°
Closest atoms and distances in Å follow each position.
Atoms (fractional coordinates):
Zr 0.2358 0.1204 0.0000  2 Rh 2.77, 10 Pd 2.81-2.89
Zr 0.2642 0.6204 0.0000  2 Rh 2.77, 10 Pd 2.81-2.89
Zr 0.7358 0.3796 0.0000  2 Rh 2.77, 10 Pd 2.81-2.89
Zr 0.7642 0.8796 0.0000  2 Rh 2.77, 10 Pd 2.81-2.89
Pd 0.0000 0.5000 0.5000  6 Pd 2.83-2.85, 2 Rh 2.85, 4 Zr 2.86
Pd 0.0112 0.7497 0.5000  7 Pd 2.82-2.85, 1 Rh 2.85, 4 Zr 2.86-2.87
Pd 0.2424 0.3734 0.0000  4 Zr 2.81-2.89, 6 Pd 2.82-2.84, 2 Rh 2.87
Pd 0.2576 0.8734 0.0000  4 Zr 2.81-2.89, 6 Pd 2.82-2.84, 2 Rh 2.87
Pd 0.4888 0.2497 0.5000  7 Pd 2.82-2.85, 1 Rh 2.85, 4 Zr 2.86-2.87
Pd 0.5000 0.0000 0.5000  6 Pd 2.83-2.85, 2 Rh 2.85, 4 Zr 2.86
Pd 0.5112 0.7503 0.5000  7 Pd 2.82-2.85, 1 Rh 2.85, 4 Zr 2.86-2.87
Pd 0.7424 0.1266 0.0000  4 Zr 2.81-2.89, 6 Pd 2.82-2.84, 2 Rh 2.87
Pd 0.7576 0.6266 0.0000  4 Zr 2.81-2.89, 6 Pd 2.82-2.84, 2 Rh 2.87
Pd 0.9888 0.2503 0.5000  7 Pd 2.82-2.85, 1 Rh 2.85, 4 Zr 2.86-2.87
Rh 0.0000 0.0000 0.5000  4 Zr 2.77, 8 Pd 2.85-2.87
Rh 0.5000 0.5000 0.5000  4 Zr 2.77, 8 Pd 2.85-2.87

Output
DOS at the Fermi energy ... 0.3978 states/eV per atom
VASP energy ... -7.099 eV per atom
Magnetic moment ... 0.00 μB/f.u.
Space-group type ... Pbam (55)



2.
Computed, not measured: a relaxed structure of Zr6PdRh2 at the PBE level of DFT.

Cell: 5.6659 7.2954 10.5622 Å, 90.00 121.23 90.00°
Closest atoms and distances in Å follow each position.
Atoms (fractional coordinates):
Zr 0.0605 0.0671 0.2408  1 Pd 2.62, 1 Rh 2.73
Zr 0.0605 0.4329 0.7408  1 Pd 2.62, 1 Rh 2.73
Zr 0.2150 0.7350 0.0739  2 Rh 2.71-2.74, 1 Pd 2.73
Zr 0.2150 0.7650 0.5739  2 Rh 2.71-2.74, 1 Pd 2.73
Zr 0.3805 0.1427 0.0453  2 Rh 2.72-2.84, 1 Pd 2.80, 1 Zr 2.90
Zr 0.3805 0.3573 0.5453  2 Rh 2.72-2.84, 1 Pd 2.80, 1 Zr 2.90
Zr 0.6195 0.6427 0.4547  2 Rh 2.72-2.84, 1 Pd 2.80, 1 Zr 2.90
Zr 0.6195 0.8573 0.9547  2 Rh 2.72-2.84, 1 Pd 2.80, 1 Zr 2.90
Zr 0.7850 0.2350 0.4261  2 Rh 2.71-2.74, 1 Pd 2.73
Zr 0.7850 0.2650 0.9261  2 Rh 2.71-2.74, 1 Pd 2.73
Zr 0.9395 0.5671 0.2592  1 Pd 2.62, 1 Rh 2.73
Zr 0.9395 0.9329 0.7592  1 Pd 2.62, 1 Rh 2.73
Pd 0.5000 0.0000 0.5000  6 Zr 2.62-2.80
Pd 0.5000 0.5000 0.0000  6 Zr 2.62-2.80
Rh 0.3180 0.0956 0.7092  6 Zr 2.71-2.97, 1 Pd 2.97
Rh 0.3180 0.4044 0.2092  6 Zr 2.71-2.97, 1 Pd 2.97
Rh 0.6820 0.5956 0.7908  6 Zr 2.71-2.97, 1 Pd 2.97
Rh 0.6820 0.9044 0.2908  6 Zr 2.71-2.97, 1 Pd 2.97

Output
DOS at the Fermi energy ... 0.7526 states/eV per atom
VASP energy ... -8.293 eV per atom
Magnetic moment ... 0.00 μB/f.u.
Space-group type ... P2_1/c (14)



3.
Computed, not measured: a relaxed structure of ZrPd2Rh2 at the PBE level of DFT.

Cell: 3.6789 3.6789 12.7921 Å, 90.00 90.00 90.00°
Closest atoms and distances in Å follow each position.
Atoms (fractional coordinates):
Zr 0.0000 0.0000 0.0000  8 Rh 2.88
Zr 0.5000 0.5000 0.5000  8 Rh 2.88
Pd 0.0000 0.5000 0.2500  4 Pd 2.60, 4 Rh 2.68
Pd 0.0000 0.5000 0.7500  4 Pd 2.60, 4 Rh 2.68
Pd 0.5000 0.0000 0.2500  4 Pd 2.60, 4 Rh 2.68
Pd 0.5000 0.0000 0.7500  4 Pd 2.60, 4 Rh 2.68
Rh 0.0000 0.0000 0.4028  1 Rh 2.49, 4 Pd 2.68
Rh 0.0000 0.0000 0.5972  1 Rh 2.49, 4 Pd 2.68
Rh 0.5000 0.5000 0.0972  1 Rh 2.49, 4 Pd 2.68
Rh 0.5000 0.5000 0.9028  1 Rh 2.49, 4 Pd 2.68

Output
DOS at the Fermi energy ... 1.3668 states/eV per atom
VASP energy ... -6.900 eV per atom
Magnetic moment ... 0.00 μB/f.u.
Space-group type ... I4/mmm (139)



Repeat the second record exactly.
Computed, not measured: a relaxed structure of Zr6PdRh2 at the PBE level of DFT.

Cell: 5.6659 7.2954 10.5622 Å, 90.00 121.23 90.00°
Closest atoms and distances in Å follow each position.
Atoms (fractional coordinates):
Zr 0.0605 0.0671 0.2408  1 Pd 2.62, 1 Rh 2.73
Zr 0.0605 0.4329 0.7408  1 Pd 2.62, 1 Rh 2.73
Zr 0.2150 0.7350 0.0739  2 Rh 2.71-2.74, 1 Pd 2.73
Zr 0.2150 0.7650 0.5739  2 Rh 2.71-2.74, 1 Pd 2.73
Zr 0.3805 0.1427 0.0453  2 Rh 2.72-2.84, 1 Pd 2.80, 1 Zr 2.90
Zr 0.3805 0.3573 0.5453  2 Rh 2.72-2.84, 1 Pd 2.80, 1 Zr 2.90
Zr 0.6195 0.6427 0.4547  2 Rh 2.72-2.84, 1 Pd 2.80, 1 Zr 2.90
Zr 0.6195 0.8573 0.9547  2 Rh 2.72-2.84, 1 Pd 2.80, 1 Zr 2.90
Zr 0.7850 0.2350 0.4261  2 Rh 2.71-2.74, 1 Pd 2.73
Zr 0.7850 0.2650 0.9261  2 Rh 2.71-2.74, 1 Pd 2.73
Zr 0.9395 0.5671 0.2592  1 Pd 2.62, 1 Rh 2.73
Zr 0.9395 0.9329 0.7592  1 Pd 2.62, 1 Rh 2.73
Pd 0.5000 0.0000 0.5000  6 Zr 2.62-2.80
Pd 0.5000 0.5000 0.0000  6 Zr 2.62-2.80
Rh 0.3180 0.0956 0.7092  6 Zr 2.71-2.97, 1 Pd 2.97
Rh 0.3180 0.4044 0.2092  6 Zr 2.71-2.97, 1 Pd 2.97
Rh 0.6820 0.5956 0.7908  6 Zr 2.71-2.97, 1 Pd 2.97
Rh 0.6820 0.9044 0.2908  6 Zr 2.71-2.97, 1 Pd 2.97

Output
DOS at the Fermi energy ... 0.7526 states/eV per atom
VASP energy ... -8.293 eV per atom
Magnetic moment ... 0.00 μB/f.u.
Space-group type ... P2_1/c (14)